[1]
A plane-wave DFT calculation with GGA-PBE was carried out for a relaxed La2Tb4Nd crystal.

a b c (Å): 11.887 11.887 11.887
angles (deg): 157.50 157.50 32.03
Fractional positions:
La  0.099  0.099  0.000
La  0.901  0.901  0.000
Tb  0.250  0.750  0.500
Tb  0.360  0.360  0.000
Tb  0.640  0.640  0.000
Tb  0.750  0.250  0.500
Nd  0.500  0.500  0.000

Summary:
Formation energy: 156.9 kJ/mol of formula units
Calculated total energy: -31.52 eV/cell
Distance to the lowest polymorph of the same formula: 0.024 eV/atom
Space group: I4/mmm (139)


[2]
A plane-wave DFT calculation with GGA-PBE was carried out for a relaxed CuTeMo2 crystal.

a b c (Å): 8.476 8.476 8.476
angles (deg): 20.91 20.91 20.91
Fractional positions:
Cu  0.000  0.000  0.000
Te  0.500  0.500  0.500
Mo  0.253  0.253  0.253
Mo  0.747  0.747  0.747

Summary:
Calculated total energy: -26.42 eV/cell
Formation energy without anion corrections: 0.62 eV/atom
Space group: R-3m (166)


[3]
A plane-wave DFT calculation with GGA-PBE was carried out for a relaxed PmDy6Sc3 crystal.

a b c (Å): 10.693 10.693 6.236
angles (deg): 90.00 90.00 122.92
Fractional positions:
Pm  0.213  0.787  0.500
Pm  0.787  0.213  0.000
Dy  0.029  0.433  0.348
Dy  0.045  0.955  0.859
Dy  0.295  0.364  0.180
Dy  0.313  0.687  0.032
Dy  0.364  0.295  0.680
Dy  0.433  0.029  0.848
Dy  0.567  0.971  0.348
Dy  0.636  0.705  0.180
Dy  0.687  0.313  0.532
Dy  0.705  0.636  0.680
Dy  0.955  0.045  0.359
Dy  0.971  0.567  0.848
Sc  0.079  0.310  0.784
Sc  0.310  0.079  0.284
Sc  0.385  0.615  0.571
Sc  0.615  0.385  0.071
Sc  0.690  0.921  0.784
Sc  0.921  0.690  0.284

Summary:
Formation energy: 158.6 kJ/mol of formula units
Calculated total energy: -99.43 eV/cell
Distance to the lowest polymorph of the same formula: 0.000 eV/atom
Space group: Cmc2_1 (36)


[4]
A plane-wave DFT calculation with GGA-PBE was carried out for a relaxed Pm2PrIn3 crystal.

a b c (Å): 8.648 8.648 7.733
angles (deg): 90.00 90.00 143.12
Fractional positions:
Pm  0.000  0.000  0.000
Pm  0.000  0.000  0.500
Pm  0.332  0.668  0.000
Pm  0.668  0.332  0.000
Pr  0.333  0.667  0.500
Pr  0.667  0.333  0.500
In  0.165  0.835  0.246
In  0.165  0.835  0.754
In  0.500  0.500  0.246
In  0.500  0.500  0.754
In  0.835  0.165  0.246
In  0.835  0.165  0.754

Summary:
Formation energy: -287.8 kJ/mol of formula units
Calculated total energy: -50.96 eV/cell
Space group: Cmmm (65)